## a
Computed, not measured: a relaxed ZrAgNF2 crystal at the PBE level of DFT.

Cell lengths 4.1848, 4.1848, 4.2143 Å; angles 90.00, 90.00, 90.00 degrees
With the nearest neighbours (Å) after each atom.
Sites, in units of the cell vectors:
F 0.5000 0.0000 0.0000  2 Ag 2.09
Ag 0.0000 0.0000 0.0000  4 F 2.09, 2 N 2.11
N 0.0000 0.0000 0.5000  2 Ag 2.11
F 0.0000 0.5000 0.0000  2 Ag 2.09
Zr 0.5000 0.5000 0.5000  4 N 2.96, 8 F 2.97

Properties
The space group is No. 123.

## b
Computed, not measured: a relaxed ZrAgNF2 crystal at the PBE level of DFT.

Cell lengths 4.2372, 4.2372, 4.2537 Å; angles 90.00, 90.00, 90.00 degrees
With the nearest neighbours (Å) after each atom.
Sites, in units of the cell vectors:
N 0.0000 0.0000 0.5000  2 Zr 2.13
F 0.0000 0.5000 0.0000  2 Zr 2.12
Zr 0.0000 0.0000 0.0000  4 F 2.12, 2 N 2.13
Ag 0.5000 0.5000 0.5000  4 N 3.00, 8 F 3.00
F 0.5000 0.0000 0.0000  2 Zr 2.12

Properties
The space group is No. 123.

The least stable of them is a.

## a
Computed, not measured: a relaxed ZrAgN2F crystal at the PBE level of DFT.

Cell lengths 4.2617, 4.2617, 4.2105 Å; angles 90.00, 90.00, 90.00 degrees
With the nearest neighbours (Å) after each atom.
Sites, in units of the cell vectors:
N 0.5000 0.0000 0.0000  2 Zr 2.13
N 0.0000 0.5000 0.0000  2 Zr 2.13
Ag 0.5000 0.5000 0.5000  8 N 3.00, 4 F 3.01
F 0.0000 0.0000 0.5000  2 Zr 2.11
Zr 0.0000 0.0000 0.0000  2 F 2.11, 4 N 2.13

Properties
The space group is No. 123.

## b
Computed, not measured: a relaxed ZrAgN2F crystal at the PBE level of DFT.

Cell lengths 4.0698, 4.0698, 3.9770 Å; angles 90.00, 90.00, 90.00 degrees
With the nearest neighbours (Å) after each atom.
Sites, in units of the cell vectors:
Zr 0.5000 0.5000 0.5000  8 N 2.85, 4 F 2.88
N 0.5000 0.0000 0.0000  2 Ag 2.03
N 0.0000 0.5000 0.0000  2 Ag 2.03
Ag 0.0000 0.0000 0.0000  2 F 1.99, 4 N 2.03
F 0.0000 0.0000 0.5000  2 Ag 1.99

Properties
The space group is No. 123.

The least stable of them is b.

## a
Computed, not measured: a relaxed NaAgF3 crystal at the PBE level of DFT.

Cell lengths 4.3521, 4.3521, 4.3521 Å; angles 90.00, 90.00, 90.00 degrees
With the nearest neighbours (Å) after each atom.
Sites, in units of the cell vectors:
F 0.0000 0.0000 0.5000  2 Ag 2.18
Ag 0.0000 0.0000 0.0000  6 F 2.18
Na 0.5000 0.5000 0.5000  12 F 3.08
F 0.0000 0.5000 0.0000  2 Ag 2.18
F 0.5000 0.0000 0.0000  2 Ag 2.18

Properties
The space group is No. 221.

## b
Computed, not measured: a relaxed NaAgF3 crystal at the PBE level of DFT.

Cell lengths 4.1298, 6.1562, 6.2344 Å; angles 90.00, 109.37, 90.00 degrees
With the nearest neighbours (Å) after each atom.
Sites, in units of the cell vectors:
Na 0.7938 0.7500 0.5875  7 F 2.36-2.60
Ag 0.5107 0.7500 0.0206  2 F 2.07
F 0.0030 0.7500 0.0052  2 Ag 2.07
Na 0.2062 0.2500 0.4125  7 F 2.36-2.60
F 0.6504 0.0172 0.3000  2 Ag 2.32-2.37, 3 Na 2.36-2.60
F 0.3496 0.5172 0.7000  2 Ag 2.32-2.37, 3 Na 2.36-2.60
F 0.9970 0.2500 0.9948  2 Ag 2.07
Ag 0.4893 0.2500 0.9794  2 F 2.07
F 0.6504 0.4828 0.3000  2 Ag 2.32-2.37, 3 Na 2.36-2.60
F 0.3496 0.9828 0.7000  2 Ag 2.32-2.37, 3 Na 2.36-2.60

Properties
The space group is No. 63.

## c
Computed, not measured: a relaxed NaAgF3 crystal at the PBE level of DFT.

Cell lengths 3.5080, 6.8695, 6.8695 Å; angles 107.98, 90.00, 90.00 degrees
With the nearest neighbours (Å) after each atom.
Sites, in units of the cell vectors:
Ag 0.0000 0.0000 0.0000  4 F 2.05
F 0.5000 0.6207 0.3793  2 Ag 2.21
Ag 0.0000 0.5000 0.5000  4 F 2.21
Na 0.5000 0.0000 0.5000  6 F 2.28-2.48
F 0.0000 0.9489 0.6901  1 Ag 2.05, 2 Na 2.28
F 0.0000 0.6901 0.9489  1 Ag 2.05, 2 Na 2.28
Na 0.5000 0.5000 0.0000  6 F 2.28-2.48
F 0.0000 0.3099 0.0511  1 Ag 2.05, 2 Na 2.28
F 0.5000 0.3793 0.6207  2 Ag 2.21
F 0.0000 0.0511 0.3099  1 Ag 2.05, 2 Na 2.28

Properties
The space group is No. 65.

The least stable of them is a.

## a
Computed, not measured: a relaxed Na2AgF crystal at the PBE level of DFT.

Cell lengths 2.9440, 2.9440, 7.7222 Å; angles 90.00, 90.00, 90.00 degrees
With the nearest neighbours (Å) after each atom.
Sites, in units of the cell vectors:
Na 0.0000 0.0000 0.8185  4 F 2.51, 1 Na 2.80
Na 0.0000 0.0000 0.1815  4 F 2.51, 1 Na 2.80
Ag 0.5000 0.5000 0.5000  4 Ag 2.94, 8 Na 3.22
F 0.5000 0.5000 0.0000  8 Na 2.51

Properties
The space group is No. 123.

## b
Computed, not measured: a relaxed Na2AgF crystal at the PBE level of DFT.

Cell lengths 6.7377, 6.7377, 6.2691 Å; angles 57.50, 57.50, 90.00 degrees
With the nearest neighbours (Å) after each atom.
Sites, in units of the cell vectors:
Na 0.5199 0.1250 0.2500  2 F 2.20
Na 0.2301 0.6250 0.2500  2 F 2.20
Ag 0.0000 0.0000 0.0000  4 Na 3.10
Ag 0.7500 0.2500 0.5000  4 Na 3.10
Na 0.3750 0.4801 0.7500  2 F 2.20
F 0.2500 0.7500 0.5000  4 Na 2.20
Na 0.8750 0.7699 0.7500  2 F 2.20
F 0.5000 0.5000 0.0000  4 Na 2.20

Properties
The space group is No. 122.

The least stable of them is b.

## a
Computed, not measured: a relaxed Na2AgF crystal at the PBE level of DFT.

Cell lengths 3.1756, 3.1756, 8.2427 Å; angles 78.89, 78.89, 60.00 degrees
With the nearest neighbours (Å) after each atom.
Sites, in units of the cell vectors:
Na 0.7257 0.7257 0.8230  3 F 2.32
Na 0.2743 0.2743 0.1770  3 F 2.32
Ag 0.5000 0.5000 0.5000  6 Ag 3.18, 6 Na 3.18
F 0.0000 0.0000 0.0000  6 Na 2.32

Properties
The space group is No. 166.

## b
Computed, not measured: a relaxed Na2AgF crystal at the PBE level of DFT.

Cell lengths 4.8911, 4.8911, 4.8911 Å; angles 60.00, 60.00, 60.00 degrees
With the nearest neighbours (Å) after each atom.
Sites, in units of the cell vectors:
Na 0.2500 0.2500 0.2500  4 F 3.00, 4 Ag 3.00
Na 0.7500 0.7500 0.7500  4 Ag 3.00, 4 F 3.00
F 0.0000 0.0000 0.0000  8 Na 3.00
Ag 0.5000 0.5000 0.5000  8 Na 3.00

Properties
The space group is No. 225.

The least stable of them is b.

## a
Computed, not measured: a relaxed Na2AgF4 crystal at the PBE level of DFT.

Cell lengths 3.4190, 5.8201, 6.1923 Å; angles 117.48, 106.03, 90.00 degrees
With the nearest neighbours (Å) after each atom.
Sites, in units of the cell vectors:
F 0.3577 0.7246 0.7155  3 Na 2.27-2.47, 2 Ag 2.40
Na 0.2957 0.2903 0.5913  6 F 2.26-2.47
F 0.1213 0.8344 0.2426  1 Ag 2.09, 2 Na 2.26
Ag 0.0000 0.0000 0.0000  2 F 2.09
F 0.8787 0.1656 0.7574  1 Ag 2.09, 2 Na 2.26
F 0.6423 0.2754 0.2845  3 Na 2.27-2.47, 2 Ag 2.40
Na 0.7043 0.7097 0.4087  6 F 2.26-2.47

Properties
The space group is No. 12.

## b
Computed, not measured: a relaxed Na2AgF4 crystal at the PBE level of DFT.

Cell lengths 10.5189, 3.4094, 6.2863 Å; angles 64.63, 90.00, 90.00 degrees
With the nearest neighbours (Å) after each atom.
Sites, in units of the cell vectors:
F 0.1713 0.0286 0.8144  1 Ag 2.13, 3 Na 2.29-2.34
F 0.3287 0.0286 0.3144  1 Ag 2.13, 3 Na 2.29-2.34
F 0.4384 0.4374 0.7967  1 Ag 2.12, 2 Na 2.37
Ag 0.5000 0.0000 0.5000  4 F 2.12-2.13
Na 0.3503 0.7497 0.0357  6 F 2.29-2.42
F 0.9384 0.5626 0.7033  1 Ag 2.12, 2 Na 2.37
Na 0.8503 0.2503 0.4643  6 F 2.29-2.42
F 0.5616 0.5626 0.2033  1 Ag 2.12, 2 Na 2.37
Na 0.6497 0.2503 0.9643  6 F 2.29-2.42
Ag 0.0000 0.0000 0.0000  4 F 2.12-2.13
F 0.6713 0.9714 0.6856  1 Ag 2.13, 3 Na 2.29-2.34
Na 0.1497 0.7497 0.5357  6 F 2.29-2.42
F 0.8287 0.9714 0.1856  1 Ag 2.13, 3 Na 2.29-2.34
F 0.0616 0.4374 0.2967  1 Ag 2.12, 2 Na 2.37

Properties
The space group is No. 14.

The least stable of them is a.

## a
Computed, not measured: a relaxed Na2AgF4 crystal at the PBE level of DFT.

Cell lengths 4.3924, 4.3924, 6.7361 Å; angles 70.97, 70.97, 90.00 degrees
With the nearest neighbours (Å) after each atom.
Sites, in units of the cell vectors:
F 0.5000 0.0000 0.0000  2 Ag 2.20
F 0.8193 0.8193 0.3614  1 Na 2.16, 1 Ag 2.16
Na 0.3610 0.3610 0.2780  1 F 2.16
F 0.1807 0.1807 0.6386  1 Na 2.16, 1 Ag 2.16
Na 0.6390 0.6390 0.7220  1 F 2.16
Ag 0.0000 0.0000 0.0000  6 F 2.16-2.20
F 0.0000 0.5000 0.0000  2 Ag 2.20

Properties
The space group is No. 139.

## b
Computed, not measured: a relaxed Na2AgF4 crystal at the PBE level of DFT.

Cell lengths 6.2664, 6.2664, 7.0346 Å; angles 104.01, 104.01, 117.16 degrees
With the nearest neighbours (Å) after each atom.
Sites, in units of the cell vectors:
Ag 0.7465 0.2465 0.5000  4 F 2.13-2.15
Na 0.4753 0.5726 0.5422  5 F 2.26-2.45
F 0.0354 0.2777 0.3755  1 Ag 2.15, 3 Na 2.26-2.36
F 0.4694 0.2202 0.1359  1 Ag 2.13, 1 Na 2.26
Ag 0.4965 0.4965 0.0000  4 F 2.13-2.15
F 0.9022 0.6599 0.6245  1 Ag 2.15, 3 Na 2.26-2.36
F 0.5835 0.8343 0.3641  1 Ag 2.13, 1 Na 2.26
Na 0.0303 0.9331 0.4578  5 F 2.26-2.45
F 0.5277 0.7854 0.8755  1 Ag 2.15, 3 Na 2.26-2.36
F 0.0843 0.3335 0.8641  1 Ag 2.13, 1 Na 2.26
F 0.9099 0.6522 0.1245  1 Ag 2.15, 3 Na 2.26-2.36
F 0.4702 0.2194 0.6359  1 Ag 2.13, 1 Na 2.26
Na 0.1831 0.7803 0.9578  5 F 2.26-2.45
Na 0.8226 0.2253 0.0422  5 F 2.26-2.45

Properties
The space group is No. 43.

The least stable of them is a.

## a
Computed, not measured: a relaxed NaAg2F crystal at the PBE level of DFT.

Cell lengths 8.8154, 8.8154, 6.6002 Å; angles 48.10, 48.10, 90.00 degrees
With the nearest neighbours (Å) after each atom.
Sites, in units of the cell vectors:
F 0.5000 0.5000 0.0000  2 Na 2.17
Ag 0.2171 0.6250 0.2500  2 F 2.66, 2 Ag 2.71
Ag 0.3750 0.4671 0.7500  2 F 2.66, 2 Ag 2.71
F 0.2500 0.7500 0.5000  2 Na 2.17
Ag 0.5329 0.1250 0.2500  2 F 2.66, 2 Ag 2.71
Na 0.7500 0.2500 0.5000  2 F 2.17
Na 0.0000 0.0000 0.0000  2 F 2.17
Ag 0.8750 0.7829 0.7500  2 F 2.66, 2 Ag 2.71

Properties
The space group is No. 122.

## b
Computed, not measured: a relaxed NaAg2F crystal at the PBE level of DFT.

Cell lengths 3.0528, 3.0528, 9.2939 Å; angles 80.55, 80.55, 60.00 degrees
With the nearest neighbours (Å) after each atom.
Sites, in units of the cell vectors:
F 0.5000 0.5000 0.5000  6 Ag 2.51
Ag 0.1013 0.1013 0.6962  3 F 2.51, 1 Na 2.77
Na 0.0000 0.0000 0.0000  2 Ag 2.77, 6 Na 3.05
Ag 0.8987 0.8987 0.3038  3 F 2.51, 1 Na 2.77

Properties
The space group is No. 166.

The least stable of them is b.

## a
Computed, not measured: a relaxed Na2YAgF6 crystal at the PBE level of DFT.

Cell lengths 5.9338, 5.9923, 9.0654 Å; angles 90.00, 89.26, 90.00 degrees
With the nearest neighbours (Å) after each atom.
Sites, in units of the cell vectors:
Na 0.9969 0.0239 0.7144  6 F 2.28-2.55
F 0.8516 0.6535 0.1978  1 Y 2.19, 2 Na 2.28-2.36
Na 0.5031 0.5239 0.7856  6 F 2.28-2.55
Na 0.4969 0.4761 0.2144  6 F 2.28-2.55
F 0.3516 0.8465 0.6978  1 Y 2.19, 2 Na 2.28-2.36
F 0.8344 0.7613 0.8685  1 Y 2.21, 1 Na 2.31
F 0.8240 0.8272 0.5231  1 Y 2.20, 1 Ag 2.23, 1 Na 2.34
Y 0.5000 0.0000 0.5000  6 F 2.19-2.21
F 0.6760 0.3272 0.9769  1 Y 2.20, 1 Ag 2.23, 1 Na 2.34
Ag 0.0000 0.5000 0.5000  2 F 2.23
F 0.6484 0.1535 0.3022  1 Y 2.19, 2 Na 2.28-2.36
F 0.3240 0.6728 0.0231  1 Y 2.20, 1 Ag 2.23, 1 Na 2.34
F 0.1484 0.3465 0.8022  1 Y 2.19, 2 Na 2.28-2.36
Ag 0.5000 0.0000 0.0000  2 F 2.23
Y 0.0000 0.5000 0.0000  6 F 2.19-2.21
F 0.3344 0.7387 0.3685  1 Y 2.21, 1 Na 2.31
F 0.6656 0.2613 0.6315  1 Y 2.21, 1 Na 2.31
F 0.1760 0.1728 0.4769  1 Y 2.20, 1 Ag 2.23, 1 Na 2.34
Na 0.0031 0.9761 0.2856  6 F 2.28-2.55
F 0.1656 0.2387 0.1315  1 Y 2.21, 1 Na 2.31

Properties
The space group is No. 14.

## b
Computed, not measured: a relaxed Na2YAgF6 crystal at the PBE level of DFT.

Cell lengths 6.4507, 6.4507, 6.4507 Å; angles 60.00, 60.00, 60.00 degrees
With the nearest neighbours (Å) after each atom.
Sites, in units of the cell vectors:
F 0.2373 0.7627 0.7627  1 Y 2.17, 1 Ag 2.40
Y 0.0000 0.0000 0.0000  6 F 2.17
F 0.2373 0.7627 0.2373  1 Y 2.17, 1 Ag 2.40
Ag 0.5000 0.5000 0.5000  6 F 2.40
F 0.7627 0.2373 0.2373  1 Y 2.17, 1 Ag 2.40
F 0.7627 0.2373 0.7627  1 Y 2.17, 1 Ag 2.40
Na 0.2500 0.2500 0.2500  12 F 3.23
Na 0.7500 0.7500 0.7500  12 F 3.23
F 0.2373 0.2373 0.7627  1 Y 2.17, 1 Ag 2.40
F 0.7627 0.7627 0.2373  1 Y 2.17, 1 Ag 2.40

Properties
The space group is No. 225.

The least stable of them is b.

## a
Computed, not measured: a relaxed Nb2AgF2 crystal at the PBE level of DFT.

Cell lengths 8.2230, 8.2230, 2.6675 Å; angles 90.00, 90.00, 90.00 degrees
With the nearest neighbours (Å) after each atom.
Sites, in units of the cell vectors:
F 0.2605 0.2395 0.5000  2 Nb 2.16
Ag 0.0000 0.0000 0.0000  2 Ag 2.67
Nb 0.8855 0.6145 0.0000  2 F 2.16
Nb 0.3855 0.8855 0.0000  2 F 2.16
F 0.7395 0.7605 0.5000  2 Nb 2.16
Nb 0.1145 0.3855 0.0000  2 F 2.16
F 0.2395 0.7395 0.5000  2 Nb 2.16
Nb 0.6145 0.1145 0.0000  2 F 2.16
Ag 0.5000 0.5000 0.0000  2 Ag 2.67
F 0.7605 0.2605 0.5000  2 Nb 2.16

Properties
The space group is No. 127.

## b
Computed, not measured: a relaxed Nb2AgF2 crystal at the PBE level of DFT.

Cell lengths 3.5080, 3.5080, 6.3928 Å; angles 74.08, 74.08, 90.00 degrees
With the nearest neighbours (Å) after each atom.
Sites, in units of the cell vectors:
F 0.2500 0.7500 0.5000  4 Nb 2.35, 4 F 2.48
F 0.7500 0.2500 0.5000  4 Nb 2.35, 4 F 2.48
Nb 0.3828 0.3828 0.2343  4 F 2.35
Ag 0.0000 0.0000 0.0000  8 Nb 2.84
Nb 0.6172 0.6172 0.7657  4 F 2.35

Properties
The space group is No. 139.

The least stable of them is a.

## a
Computed, not measured: a relaxed NbAg2F crystal at the PBE level of DFT.

Cell lengths 7.4975, 7.4975, 5.8570 Å; angles 50.20, 50.20, 90.00 degrees
With the nearest neighbours (Å) after each atom.
Sites, in units of the cell vectors:
F 0.5000 0.5000 0.0000  2 Nb 2.49, 4 Ag 2.50
Ag 0.3750 0.4210 0.7500  2 F 2.50, 2 Ag 2.58
Ag 0.1710 0.6250 0.2500  2 F 2.50, 2 Ag 2.58
F 0.2500 0.7500 0.5000  2 Nb 2.49, 4 Ag 2.50
Ag 0.5790 0.1250 0.2500  2 F 2.50, 2 Ag 2.58
Ag 0.8750 0.8290 0.7500  2 F 2.50, 2 Ag 2.58
Nb 0.7500 0.2500 0.5000  2 F 2.49
Nb 0.0000 0.0000 0.0000  2 F 2.49

Properties
The space group is No. 122.

## b
Computed, not measured: a relaxed NbAg2F crystal at the PBE level of DFT.

Cell lengths 4.5891, 4.5891, 4.5891 Å; angles 60.00, 60.00, 60.00 degrees
With the nearest neighbours (Å) after each atom.
Sites, in units of the cell vectors:
F 0.0000 0.0000 0.0000  8 Ag 2.81
Ag 0.2500 0.2500 0.2500  4 Nb 2.81, 4 F 2.81
Nb 0.5000 0.5000 0.5000  8 Ag 2.81
Ag 0.7500 0.7500 0.7500  4 Nb 2.81, 4 F 2.81

Properties
The space group is No. 225.

The least stable of them is b.

## a
Computed, not measured: a relaxed Nb3AgF crystal at the PBE level of DFT.

Cell lengths 4.3452, 4.3452, 4.3452 Å; angles 90.00, 90.00, 90.00 degrees
With the nearest neighbours (Å) after each atom.
Sites, in units of the cell vectors:
F 0.0000 0.0000 0.0000  6 Nb 2.17
Nb 0.0000 0.0000 0.5000  2 F 2.17
Ag 0.5000 0.5000 0.5000  12 Nb 3.07
Nb 0.5000 0.0000 0.0000  2 F 2.17
Nb 0.0000 0.5000 0.0000  2 F 2.17

Properties
The space group is No. 221.

## b
Computed, not measured: a relaxed Nb3AgF crystal at the PBE level of DFT.

Cell lengths 4.9844, 4.9844, 4.9844 Å; angles 90.00, 90.00, 90.00 degrees
With the nearest neighbours (Å) after each atom.
Sites, in units of the cell vectors:
Nb 0.0000 0.5000 0.0000  2 Ag 2.49
Nb 0.5000 0.0000 0.0000  2 Ag 2.49
F 0.5000 0.5000 0.5000  12 Nb 3.52
Ag 0.0000 0.0000 0.0000  6 Nb 2.49
Nb 0.0000 0.0000 0.5000  2 Ag 2.49

Properties
The space group is No. 221.

The least stable of them is b.